This record from Alexandria via LeMat-Bulk describes TlCdP2 after structural relaxation. The functional is PBE.

Computed properties:
Crystal system ... orthorhombic
Space-group type ... Imm2, No. 44
Energy of formation ... 0.1483 eV/atom
Magnetization ... 0.00 μB per formula unit
Calculated total energy ... -3.3770 eV per atom

a b c (Å): 6.083 6.083 5.728
angles (deg): 61.86 61.86 31.31
Positions (direct):
P (0.960, 0.960, 0.040)
P (0.317, 0.317, 0.182)
Tl (0.506, 0.506, 0.494)
Cd (0.717, 0.717, 0.783)

This record from Alexandria via LeMat-Bulk describes TlCdP2 after structural relaxation. The functional is PBE.

Computed properties:
Crystal system ... monoclinic
Space-group type ... Pm, No. 6
Energy of formation ... 0.1408 eV/atom
Magnetization ... 0.00 μB per formula unit
Calculated total energy ... -3.3845 eV per atom

a b c (Å): 3.292 3.891 7.677
angles (deg): 75.07 90.00 90.00
Positions (direct):
P (0.500, 0.082, 0.208)
P (0.000, 0.179, 0.014)
Cd (0.500, 0.787, 0.794)
Tl (0.000, 0.452, 0.484)